[1]
The following is a GGA-PBE calculation of a relaxed CeTc2B crystal, from Alexandria via LeMat-Bulk.

```
data_CeTc2B
_cell_length_a 3.0289
_cell_length_b 3.0289
_cell_length_c 7.9150
_cell_angle_alpha 78.97
_cell_angle_beta 78.97
_cell_angle_gamma 60.00
_space_group_name_H-M_alt 'P 1'
_space_group_IT_number 1
loop_
_space_group_symop_operation_xyz
'x,y,z'
loop_
_atom_site_label
_atom_site_type_symbol
_atom_site_fract_x
_atom_site_fract_y
_atom_site_fract_z
B1 B 0.5000 0.5000 0.5000
Tc1 Tc 0.1118 0.1118 0.6647
Tc2 Tc 0.8882 0.8882 0.3353
Ce1 Ce 0.0000 0.0000 0.0000
```

Summary:
- formation enthalpy at 0 K (meV per atom) = 143
- volume (Å³/cell) = 61.3

[2]
The following is a GGA-PBE calculation of a relaxed SrMgC3 crystal, from Alexandria via LeMat-Bulk.

```
data_SrMgC3
_cell_length_a 4.6041
_cell_length_b 4.6041
_cell_length_c 4.6041
_cell_angle_alpha 90.00
_cell_angle_beta 90.00
_cell_angle_gamma 90.00
_space_group_name_H-M_alt 'P 1'
_space_group_IT_number 1
loop_
_space_group_symop_operation_xyz
'x,y,z'
loop_
_atom_site_label
_atom_site_type_symbol
_atom_site_fract_x
_atom_site_fract_y
_atom_site_fract_z
Sr1 Sr 0.0000 0.0000 0.0000
Mg1 Mg 0.5000 0.5000 0.5000
C1 C 0.0000 0.5000 0.0000
C2 C 0.0000 0.0000 0.5000
C3 C 0.5000 0.0000 0.0000
```

Summary:
- formation enthalpy at 0 K (meV per atom) = 3205
- volume (Å³/cell) = 97.6

[3]
The following is a GGA-PBE calculation of a relaxed Hg2PbCl crystal, from Alexandria via LeMat-Bulk.

```
data_Hg2PbCl
_cell_length_a 6.3083
_cell_length_b 6.3083
_cell_length_c 6.3083
_cell_angle_alpha 145.04
_cell_angle_beta 126.44
_cell_angle_gamma 65.57
_space_group_name_H-M_alt 'P 1'
_space_group_IT_number 1
loop_
_space_group_symop_operation_xyz
'x,y,z'
loop_
_atom_site_label
_atom_site_type_symbol
_atom_site_fract_x
_atom_site_fract_y
_atom_site_fract_z
Pb1 Pb 0.4840 0.4840 0.0000
Hg1 Hg 0.9992 0.9992 0.0000
Hg2 Hg 0.7422 0.2422 0.5000
Cl1 Cl 0.2747 0.7747 0.5000
```

Summary:
- formation energy from raw total energies (eV/atom) = -0.2612
- volume (Å³/cell) = 114.2

[4]
The following is a GGA-PBE calculation of a relaxed ReNi4Pt5 crystal, from Alexandria via LeMat-Bulk.

```
data_ReNi4Pt5
_cell_length_a 2.7306
_cell_length_b 2.7306
_cell_length_c 18.5047
_cell_angle_alpha 90.00
_cell_angle_beta 90.00
_cell_angle_gamma 90.00
_space_group_name_H-M_alt 'P 1'
_space_group_IT_number 1
loop_
_space_group_symop_operation_xyz
'x,y,z'
loop_
_atom_site_label
_atom_site_type_symbol
_atom_site_fract_x
_atom_site_fract_y
_atom_site_fract_z
Re1 Re 0.0000 0.0000 0.0000
Ni1 Ni 0.0000 0.0000 0.2074
Ni2 Ni 0.0000 0.0000 0.4021
Ni3 Ni 0.0000 0.0000 0.5979
Ni4 Ni 0.0000 0.0000 0.7926
Pt1 Pt 0.5000 0.5000 0.1054
Pt2 Pt 0.5000 0.5000 0.3045
Pt3 Pt 0.5000 0.5000 0.5000
Pt4 Pt 0.5000 0.5000 0.6955
Pt5 Pt 0.5000 0.5000 0.8946
```

Summary:
- formation enthalpy at 0 K (meV per atom) = -106
- volume (Å³/cell) = 138.0

[5]
The following is a GGA-PBE calculation of a relaxed SmScSe2O crystal, from Alexandria via LeMat-Bulk.

```
data_SmScSe2O
_cell_length_a 3.9318
_cell_length_b 3.9318
_cell_length_c 13.9967
_cell_angle_alpha 90.00
_cell_angle_beta 90.00
_cell_angle_gamma 90.00
_space_group_name_H-M_alt 'P 1'
_space_group_IT_number 1
loop_
_space_group_symop_operation_xyz
'x,y,z'
loop_
_atom_site_label
_atom_site_type_symbol
_atom_site_fract_x
_atom_site_fract_y
_atom_site_fract_z
Sm1 Sm 0.5000 0.0000 0.5853
Sm2 Sm 0.0000 0.5000 0.4147
Sc1 Sc 0.5000 0.0000 0.1165
Sc2 Sc 0.0000 0.5000 0.8835
Se1 Se 0.0000 0.5000 0.7060
Se2 Se 0.0000 0.5000 0.0890
Se3 Se 0.5000 0.0000 0.9110
Se4 Se 0.5000 0.0000 0.2940
O1 O 0.0000 0.0000 0.5000
O2 O 0.5000 0.5000 0.5000
```

Summary:
- formation energy from raw total energies (eV/atom) = -2.3152
- volume (Å³/cell) = 216.4

[6]
The following is a GGA-PBE calculation of a relaxed FeNi5Pt2 crystal, from Alexandria via LeMat-Bulk.

```
data_FeNi5Pt2
_cell_length_a 3.7309
_cell_length_b 3.7309
_cell_length_c 7.5852
_cell_angle_alpha 104.24
_cell_angle_beta 104.24
_cell_angle_gamma 90.00
_space_group_name_H-M_alt 'P 1'
_space_group_IT_number 1
loop_
_space_group_symop_operation_xyz
'x,y,z'
loop_
_atom_site_label
_atom_site_type_symbol
_atom_site_fract_x
_atom_site_fract_y
_atom_site_fract_z
Fe1 Fe 0.0000 0.0000 0.0000
Ni1 Ni 0.5000 0.5000 0.0000
Ni2 Ni 0.8841 0.3841 0.7682
Ni3 Ni 0.3841 0.8841 0.7682
Ni4 Ni 0.1159 0.6159 0.2318
Ni5 Ni 0.6159 0.1159 0.2318
Pt1 Pt 0.7470 0.7470 0.4941
Pt2 Pt 0.2530 0.2530 0.5059
```

Summary:
- formation enthalpy at 0 K (meV per atom) = -74
- volume (Å³/cell) = 99.0

[7]
The following is a GGA-PBE calculation of a relaxed Dy3Ho3Co4 crystal, from Alexandria via LeMat-Bulk.

```
data_Dy3Ho3Co4
_cell_length_a 4.1609
_cell_length_b 7.1672
_cell_length_c 7.1672
_cell_angle_alpha 90.05
_cell_angle_beta 90.00
_cell_angle_gamma 90.00
_space_group_name_H-M_alt 'P 1'
_space_group_IT_number 1
loop_
_space_group_symop_operation_xyz
'x,y,z'
loop_
_atom_site_label
_atom_site_type_symbol
_atom_site_fract_x
_atom_site_fract_y
_atom_site_fract_z
Dy1 Dy 0.0000 0.5003 0.9998
Dy2 Dy 0.0000 0.0002 0.4997
Dy3 Dy 0.5000 0.1723 0.8277
Ho1 Ho 0.5000 0.8269 0.1731
Ho2 Ho 0.5000 0.3277 0.3273
Ho3 Ho 0.5000 0.6727 0.6723
Co1 Co 0.0000 0.6123 0.3877
Co2 Co 0.0000 0.3897 0.6103
Co3 Co 0.0000 0.8875 0.8895
Co4 Co 0.0000 0.1105 0.1125
```

Summary:
- formation enthalpy at 0 K (meV per atom) = -158
- volume (Å³/cell) = 213.7

[8]
The following is a GGA-PBE calculation of a relaxed RbGeRhO6 crystal, from Alexandria via LeMat-Bulk.

```
data_RbGeRhO6
_cell_length_a 5.1765
_cell_length_b 5.1766
_cell_length_c 6.3236
_cell_angle_alpha 90.00
_cell_angle_beta 90.00
_cell_angle_gamma 60.00
_space_group_name_H-M_alt 'P 1'
_space_group_IT_number 1
loop_
_space_group_symop_operation_xyz
'x,y,z'
loop_
_atom_site_label
_atom_site_type_symbol
_atom_site_fract_x
_atom_site_fract_y
_atom_site_fract_z
Rb1 Rb 0.0000 0.0000 0.0000
Ge1 Ge 0.3333 0.3333 0.5000
Rh1 Rh 0.6666 0.6667 0.5000
O1 O 0.0012 0.4166 0.3208
O2 O 0.4166 0.0012 0.6791
O3 O 0.5822 0.4166 0.6791
O4 O 0.0012 0.5822 0.6791
O5 O 0.4165 0.5822 0.3208
O6 O 0.5822 0.0012 0.3208
```

Summary:
- formation energy from raw total energies (eV/atom) = -0.9253
- volume (Å³/cell) = 146.7

[9]
The following is a GGA-PBE calculation of a relaxed YTlN2 crystal, from Alexandria via LeMat-Bulk.

```
data_YTlN2
_cell_length_a 6.6554
_cell_length_b 6.6554
_cell_length_c 6.6554
_cell_angle_alpha 32.39
_cell_angle_beta 32.39
_cell_angle_gamma 32.39
_space_group_name_H-M_alt 'P 1'
_space_group_IT_number 1
loop_
_space_group_symop_operation_xyz
'x,y,z'
loop_
_atom_site_label
_atom_site_type_symbol
_atom_site_fract_x
_atom_site_fract_y
_atom_site_fract_z
Y1 Y 0.5000 0.5000 0.5000
Tl1 Tl 0.0000 0.0000 0.0000
N1 N 0.8933 0.8933 0.8933
N2 N 0.1067 0.1067 0.1067
```

Summary:
- formation energy from raw total energies (eV/atom) = -0.2623
- volume (Å³/cell) = 75.2

[10]
The following is a GGA-PBE calculation of a relaxed TiAsS2 crystal, from Alexandria via LeMat-Bulk.

```
data_TiAsS2
_cell_length_a 8.0487
_cell_length_b 8.0487
_cell_length_c 8.0487
_cell_angle_alpha 25.04
_cell_angle_beta 25.04
_cell_angle_gamma 25.04
_space_group_name_H-M_alt 'P 1'
_space_group_IT_number 1
loop_
_space_group_symop_operation_xyz
'x,y,z'
loop_
_atom_site_label
_atom_site_type_symbol
_atom_site_fract_x
_atom_site_fract_y
_atom_site_fract_z
As1 As 0.5000 0.5000 0.5000
S1 S 0.8995 0.8995 0.8995
S2 S 0.1005 0.1005 0.1005
Ti1 Ti 0.0000 0.0000 0.0000
```

Summary:
- formation energy from raw total energies (eV/atom) = 0.0542
- volume (Å³/cell) = 82.2

[11]
The following is a GGA-PBE calculation of a relaxed YAlNi3 crystal, from Alexandria via LeMat-Bulk.

```
data_YAlNi3
_cell_length_a 4.6624
_cell_length_b 4.6624
_cell_length_c 4.6624
_cell_angle_alpha 90.00
_cell_angle_beta 90.00
_cell_angle_gamma 90.00
_space_group_name_H-M_alt 'P 1'
_space_group_IT_number 1
loop_
_space_group_symop_operation_xyz
'x,y,z'
loop_
_atom_site_label
_atom_site_type_symbol
_atom_site_fract_x
_atom_site_fract_y
_atom_site_fract_z
Y1 Y 0.0000 0.0000 0.0000
Ni1 Ni 0.0000 0.5000 0.0000
Ni2 Ni 0.0000 0.0000 0.5000
Ni3 Ni 0.5000 0.0000 0.0000
Al1 Al 0.5000 0.5000 0.5000
```

Summary:
- formation enthalpy at 0 K (meV per atom) = 1217
- volume (Å³/cell) = 101.4

[12]
The following is a GGA-PBE calculation of a relaxed CaAu crystal, from Alexandria via LeMat-Bulk.

```
data_CaAu
_cell_length_a 6.5197
_cell_length_b 9.0620
_cell_length_c 10.3180
_cell_angle_alpha 90.00
_cell_angle_beta 90.00
_cell_angle_gamma 90.00
_space_group_name_H-M_alt 'P 1'
_space_group_IT_number 1
loop_
_space_group_symop_operation_xyz
'x,y,z'
loop_
_atom_site_label
_atom_site_type_symbol
_atom_site_fract_x
_atom_site_fract_y
_atom_site_fract_z
Au1 Au 0.2500 0.1418 0.1528
Au2 Au 0.7500 0.8582 0.8472
Au3 Au 0.2500 0.6418 0.8472
Au4 Au 0.7500 0.3582 0.1528
Au5 Au 0.2500 0.5480 0.4206
Au6 Au 0.7500 0.4520 0.5794
Au7 Au 0.2500 0.0480 0.5794
Au8 Au 0.7500 0.9520 0.4206
Au9 Au 0.0000 0.7500 0.0696
Au10 Au 0.5000 0.2500 0.9304
Au11 Au 0.0000 0.2500 0.9304
Au12 Au 0.5000 0.7500 0.0696
Ca1 Ca 0.2500 0.4708 0.1154
Ca2 Ca 0.7500 0.5292 0.8846
Ca3 Ca 0.2500 0.9708 0.8846
Ca4 Ca 0.7500 0.0292 0.1154
Ca5 Ca 0.2500 0.8682 0.3037
Ca6 Ca 0.7500 0.1318 0.6963
Ca7 Ca 0.2500 0.3682 0.6963
Ca8 Ca 0.7500 0.6318 0.3037
Ca9 Ca 0.0000 0.7500 0.6136
Ca10 Ca 0.5000 0.2500 0.3864
Ca11 Ca 0.0000 0.2500 0.3864
Ca12 Ca 0.5000 0.7500 0.6136
```

Summary:
- formation enthalpy at 0 K (meV per atom) = -727
- volume (Å³/cell) = 609.6

Which formula does entry 11 have?
YAlNi3

The lowest volume belongs to which entry?
CeTc2B

Among the records above, which one has the highest volume?
CaAu